Computed, not measured: an optimized crystal structure of Zr2WAu at the PBE-GGA level of DFT.

Results
E_form	0.011	eV/atom

Cell and atoms, written as POSCAR:
```
Zr2WAu
1.0
5.268 -1.473 0.000
5.268 1.473 0.000
-1.101 0.000 5.090
Zr W Au
2 1 1
Cartesian
0.000 0.000 0.000
1.506 0.000 3.261
7.686 0.000 0.776
4.296 0.000 2.445
```

=====

Computed, not measured: an optimized crystal structure of YSe2 at the PBE-GGA level of DFT.

Results
energy relative to the elements, uncorrected	-1.31	eV/atom

Cell and atoms, written as POSCAR:
```
YSe2
1.0
6.951 0.000 0.000
0.000 6.951 0.000
0.000 0.000 6.951
Y Se
4 8
Cartesian
0.000 0.000 0.000
0.000 3.476 3.476
3.476 0.000 3.476
3.476 3.476 0.000
0.847 4.322 6.104
0.847 6.104 2.629
2.629 0.847 6.104
2.629 2.629 2.629
4.322 4.322 4.322
4.322 6.104 0.847
6.104 0.847 4.322
6.104 2.629 0.847
```

=====

Computed, not measured: an optimized crystal structure of LiSn3Ge at the PBE-GGA level of DFT.

Results
E_form	0.397	eV/atom

Cell and atoms, written as POSCAR:
```
LiSn3Ge
1.0
5.408 0.000 0.000
0.000 5.408 0.000
0.000 0.000 5.408
Li Sn Ge
1 3 1
Cartesian
0.000 0.000 0.000
0.000 2.704 2.704
2.704 0.000 2.704
2.704 2.704 0.000
2.704 2.704 2.704
```

=====

Computed, not measured: an optimized crystal structure of Sr2PCl at the PBE-GGA level of DFT.

Results
energy relative to the elements, uncorrected	-1.46	eV/atom

Cell and atoms, written as POSCAR:
```
Sr2PCl
1.0
4.763 0.000 0.000
0.000 2.025 5.831
0.000 -2.025 5.831
Sr P Cl
2 1 1
Cartesian
0.000 0.000 0.000
2.382 0.000 2.884
2.382 0.000 6.000
0.000 0.000 8.795
```

=====

Computed, not measured: an optimized crystal structure of Ba2PbF2 at the PBE-GGA level of DFT.

Results
energy relative to the elements, uncorrected	-2.08	eV/atom

Cell and atoms, written as POSCAR:
```
Ba2PbF2
1.0
8.719 0.000 0.000
0.000 8.719 0.000
0.000 0.000 3.503
Ba Pb F
4 2 4
Cartesian
1.335 3.025 0.000
3.025 7.385 0.000
5.695 1.335 0.000
7.385 5.695 0.000
0.000 0.000 1.752
4.360 4.360 1.752
0.898 5.258 1.752
3.461 0.898 1.752
5.258 7.821 1.752
7.821 3.461 1.752
```

=====

Computed, not measured: an optimized crystal structure of Ni3PdSe6 at the PBE-GGA level of DFT.

Results
energy relative to the elements, uncorrected	-0.25	eV/atom

Cell and atoms, written as POSCAR:
```
Ni3PdSe6
1.0
3.139 1.812 5.392
-3.139 1.812 5.392
0.000 -3.624 5.392
Ni Pd Se
3 1 6
Cartesian
0.000 0.000 0.000
0.000 0.000 3.186
0.000 0.000 11.227
0.000 0.000 8.068
-1.007 -2.048 6.952
-1.971 0.025 9.728
-1.270 1.896 6.952
0.964 -1.719 9.728
2.277 0.152 6.952
1.007 1.694 9.728
```

=====

Computed, not measured: an optimized crystal structure of Ce8OsPb2 at the PBE-GGA level of DFT.

Results
E_form	-0.229	eV/atom

Cell and atoms, written as POSCAR:
```
Ce8OsPb2
1.0
-2.821 3.540 7.318
2.821 -3.540 7.318
2.821 3.540 -7.318
Ce Os Pb
8 1 2
Cartesian
0.000 0.000 1.991
2.821 2.074 -1.798
0.000 1.880 0.000
2.821 2.074 1.798
0.000 1.466 5.520
0.000 5.201 0.000
0.000 1.466 9.116
0.000 0.000 12.645
2.821 0.000 0.000
2.821 0.000 4.375
0.000 3.540 2.943
```

=====

Computed, not measured: an optimized crystal structure of SbTe2OsN at the PBE-GGA level of DFT.

Results
energy relative to the elements, uncorrected	0.33	eV/atom

Cell and atoms, written as POSCAR:
```
SbTe2OsN
1.0
5.508 0.000 0.000
0.000 5.508 0.000
0.000 0.000 3.730
Sb Te Os N
1 2 1 1
Cartesian
0.000 0.000 0.000
0.000 2.754 1.865
2.754 0.000 1.865
2.754 2.754 1.865
2.754 2.754 0.000
```

=====

Computed, not measured: an optimized crystal structure of Si3AsSe at the PBE-GGA level of DFT.

Results
energy relative to the elements, uncorrected	1.04	eV/atom

Cell and atoms, written as POSCAR:
```
Si3AsSe
1.0
4.879 0.000 0.000
0.000 4.879 0.000
0.000 0.000 4.879
Si As Se
3 1 1
Cartesian
0.000 0.000 2.439
0.000 2.439 0.000
2.439 0.000 0.000
0.000 0.000 0.000
2.439 2.439 2.439
```

=====

Computed, not measured: an optimized crystal structure of PdRhSe2N at the PBE-GGA level of DFT.

Results
energy relative to the elements, uncorrected	1.01	eV/atom

Cell and atoms, written as POSCAR:
```
PdRhSe2N
1.0
5.071 0.000 0.000
0.000 5.071 0.000
0.000 0.000 3.624
Pd Rh Se N
1 1 2 1
Cartesian
0.000 0.000 0.000
2.535 2.535 1.812
0.000 2.535 0.000
2.535 0.000 0.000
0.000 0.000 1.812
```

=====

Computed, not measured: an optimized crystal structure of CaPSe2 at the PBE-GGA level of DFT.

Results
energy relative to the elements, uncorrected	-0.80	eV/atom

Cell and atoms, written as POSCAR:
```
CaPSe2
1.0
4.210 0.000 0.000
0.000 1.967 5.398
0.000 -1.967 5.398
Ca P Se
1 1 2
Cartesian
0.000 0.000 0.000
2.105 0.000 8.420
0.000 0.000 3.112
2.105 0.000 6.146
```

=====

Computed, not measured: an optimized crystal structure of AgOsSeBr2 at the PBE-GGA level of DFT.

Results
energy relative to the elements, uncorrected	0.49	eV/atom

Cell and atoms, written as POSCAR:
```
AgOsSeBr2
1.0
5.343 0.000 0.000
0.000 5.343 0.000
0.000 0.000 4.601
Ag Os Se Br
1 1 1 2
Cartesian
0.000 0.000 0.000
2.671 2.671 2.301
2.671 2.671 0.000
0.000 2.671 2.301
2.671 0.000 2.301
```